This record from Alexandria describes a geometry-optimized CsLa2ZnO5 structure. The functional is PBE-GGA.

As for the volume: 148.2 Å³/f.u. The uncorrected formation energy is -2.331 eV per atom. As for the density: 6.23 g/cm³.

The space group is I4/mcm (No. 140) and the conventional cell measures 7.067, 7.067 and 11.872 Å, with angles of 90.00, 90.00 and 90.00 degrees. The inequivalent atoms are Cs at (0.000, 0.000, 0.250), La at (0.177, 0.323, 0.000), Zn at (0.000, 0.500, 0.250), O at (0.000, 0.000, 0.000) and O at (0.132, 0.368, 0.376).



This record from Alexandria describes a geometry-optimized LaPm2Cd3 structure. The functional is PBE-GGA.

As for the formation energy: -0.32 eV/atom. As for the volume: 173.5 Å³/f.u. As for the density: 7.33 g/cm³.

The space group is P4/mmm (No. 123) and the conventional cell measures 3.854, 3.854 and 11.685 Å, with angles of 90.00, 90.00 and 90.00 degrees. The inequivalent atoms are La at (0.000, 0.000, 0.000), Pm at (0.000, 0.000, 0.337), Cd at (0.500, 0.500, 0.177) and Cd at (0.500, 0.500, 0.500).



This record from Alexandria describes a geometry-optimized PmPr2Zr structure. The functional is PBE-GGA.

As for the formation energy: 0.14 eV/atom. As for the volume: 126.5 Å³/f.u. The energy above the lowest structure with this stoichiometry is 0.0 meV per atom. As for the density: 6.80 g/cm³.

The space group is R3m (No. 160, hexagonal axes) and the conventional cell measures 3.5438, 3.5438 and 34.8908 Å, with angles of 90.00, 90.00 and 120.00 degrees. The inequivalent atoms are Pm at (0.0000, 0.0000, 0.0000), Pr at (0.0000, 0.0000, 0.2427), Pr at (0.0000, 0.0000, 0.4211) and Zr at (0.0000, 0.0000, 0.8317).



This record from Alexandria describes a geometry-optimized Cs2LaTlS4 structure. The functional is PBE-GGA.

As for the volume: 261.9 Å³/f.u. The uncorrected formation energy is -1.109 eV per atom. As for the density: 4.68 g/cm³.

The space group is C2/c (No. 15) and the conventional cell measures 12.160, 13.036 and 8.878 Å, with angles of 90.00, 131.90 and 90.00 degrees. The inequivalent atoms are Cs at (0.000, 0.000, 0.000), Cs at (0.250, 0.250, 0.000), La at (0.000, 0.500, 0.000), Tl at (0.250, 0.250, 0.500), S at (0.041, 0.265, 0.493) and S at (0.203, 0.489, 0.441).



This record from Alexandria describes a geometry-optimized KB2Rh structure. The functional is PBE-GGA.

As for the formation energy: 0.31 eV/atom. As for the volume: 82.3 Å³/f.u. The energy above the lowest structure with this stoichiometry is 0.0 meV per atom. As for the density: 3.30 g/cm³.

The space group is I4_1/amd (No. 141, origin choice 2) and the conventional cell measures 5.342, 5.342 and 11.534 Å, with angles of 90.00, 90.00 and 90.00 degrees. The inequivalent atoms are K at (0.000, 0.250, 0.375), B at (0.000, 0.000, 0.000) and Rh at (0.000, 0.250, 0.875).



This record from Alexandria describes a geometry-optimized HoAsS2 structure. The functional is PBE-GGA.

As for the volume: 98.4 Å³/f.u. The uncorrected formation energy is -0.321 eV per atom. As for the density: 5.13 g/cm³.

The space group is R-3m (No. 166, hexagonal axes) and the conventional cell measures 3.7244, 3.7244 and 24.5824 Å, with angles of 90.00, 90.00 and 120.00 degrees. The inequivalent atoms are Ho at (0.0000, 0.0000, 0.0000), As at (0.0000, 0.0000, 0.5000) and S at (0.0000, 0.0000, 0.1089).



This record from Alexandria describes a geometry-optimized Mn2AuI structure. The functional is PBE-GGA.

As for the volume: 101.5 Å³/f.u. The energy above the lowest structure with this stoichiometry is 165.9 meV per atom. The uncorrected formation energy is 0.427 eV per atom. As for the density: 7.09 g/cm³.

The space group is Cm (No. 8) and the conventional cell measures 6.966, 4.049 and 7.566 Å, with angles of 90.00, 107.91 and 90.00 degrees. The inequivalent atoms are Mn at (0.000, 0.000, 0.000), Mn at (0.242, 0.500, 0.229), Au at (0.128, 0.000, 0.383) and I at (0.261, 0.000, 0.779).



This record from Alexandria describes a geometry-optimized KEu2P structure. The functional is PBE-GGA.

As for the formation energy: -0.59 eV/atom. As for the volume: 181.4 Å³/f.u. As for the density: 3.42 g/cm³.

The space group is R-3m (No. 166, hexagonal axes) and the conventional cell measures 4.2574, 4.2574 and 34.6773 Å, with angles of 90.00, 90.00 and 120.00 degrees. The inequivalent atoms are K at (0.0000, 0.0000, 0.0000), Eu at (0.0000, 0.0000, 0.1216) and P at (0.0000, 0.0000, 0.5000).



This record from Alexandria describes a geometry-optimized Tb3Dy3Mg2 structure. The functional is PBE-GGA.

As for the formation energy: 0.08 eV/atom. As for the volume: 242.0 Å³/f.u. As for the density: 6.95 g/cm³.

The space group is Cmcm (No. 63) and the conventional cell measures 5.306, 11.671 and 15.631 Å, with angles of 90.00, 90.00 and 90.00 degrees. The inequivalent atoms are Tb at (0.000, 0.044, 0.102), Tb at (0.000, 0.249, 0.250), Dy at (0.000, 0.355, 0.033), Dy at (0.000, 0.472, 0.750) and Mg at (0.000, 0.222, 0.647).



This record from Alexandria describes a geometry-optimized Dy2AgHg structure. The functional is PBE-GGA.

As for the formation energy: -0.40 eV/atom. As for the volume: 99.6 Å³/f.u. As for the density: 10.56 g/cm³.

The space group is P4/mmm (No. 123) and the conventional cell measures 5.195, 5.195 and 3.691 Å, with angles of 90.00, 90.00 and 90.00 degrees. The inequivalent atoms are Dy at (0.000, 0.500, 0.000), Ag at (0.000, 0.000, 0.500) and Hg at (0.500, 0.500, 0.500).



This record from Alexandria describes a geometry-optimized Sc3Te4 structure. The functional is PBE-GGA.

As for the volume: 199.5 Å³/f.u. The energy above the lowest structure with this stoichiometry is 13.5 meV per atom. The uncorrected formation energy is -1.229 eV per atom. As for the density: 5.37 g/cm³.

The space group is Cmmm (No. 65) and the conventional cell measures 8.376, 11.543 and 4.127 Å, with angles of 90.00, 90.00 and 90.00 degrees. The inequivalent atoms are Sc at (0.000, 0.000, 0.000), Sc at (0.250, 0.250, 0.500), Te at (0.000, 0.258, 0.000) and Te at (0.249, 0.500, 0.500).



This record from Alexandria describes a geometry-optimized ZnCd2Ru structure. The functional is PBE-GGA.

As for the formation energy: 0.32 eV/atom. As for the volume: 71.5 Å³/f.u. As for the density: 9.09 g/cm³.

The space group is Cmmm (No. 65) and the conventional cell measures 3.009, 4.951 and 9.598 Å, with angles of 90.00, 90.00 and 90.00 degrees. The inequivalent atoms are Zn at (0.000, 0.000, 0.000), Cd at (0.000, 0.500, 0.255) and Ru at (0.000, 0.000, 0.500).



This record from Alexandria describes a geometry-optimized Tb5CeHo4 structure. The functional is PBE-GGA.

As for the formation energy: 0.11 eV/atom. As for the volume: 316.9 Å³/f.u. The energy above the lowest structure with this stoichiometry is 0.0 meV per atom. As for the density: 8.36 g/cm³.

The space group is C2/m (No. 12) and the conventional cell measures 17.670, 3.466 and 10.825 Å, with angles of 90.00, 107.08 and 90.00 degrees. The inequivalent atoms are Tb at (0.000, 0.000, 0.000), Tb at (0.105, 0.500, 0.785), Tb at (0.207, 0.500, 0.100), Ce at (0.000, 0.000, 0.500), Ho at (0.094, 0.500, 0.308) and Ho at (0.196, 0.000, 0.582).



This record from Alexandria describes a geometry-optimized CdPbF6 structure. The functional is PBE-GGA.

As for the volume: 137.9 Å³/f.u. The uncorrected formation energy is -2.045 eV per atom. As for the density: 5.22 g/cm³.

The space group is R-3 (No. 148, hexagonal axes) and the conventional cell measures 5.5983, 5.5983 and 15.2453 Å, with angles of 90.00, 90.00 and 120.00 degrees. The inequivalent atoms are Cd at (0.0000, 0.0000, 0.0000), Pb at (0.0000, 0.0000, 0.5000) and F at (0.0124, 0.6356, 0.2469).



This record from Alexandria describes a geometry-optimized PmScTlCu structure. The functional is PBE-GGA.

As for the formation energy: -0.20 eV/atom. As for the volume: 94.6 Å³/f.u. As for the density: 8.03 g/cm³.

The space group is F-43m (No. 216) and the conventional cell measures 7.234, 7.234 and 7.234 Å, with angles of 90.00, 90.00 and 90.00 degrees. The inequivalent atoms are Pm at (0.000, 0.000, 0.000), Sc at (0.000, 0.000, 0.500), Tl at (0.250, 0.250, 0.750) and Cu at (0.250, 0.250, 0.250).



This record from Alexandria describes a geometry-optimized GaCu2F structure. The functional is PBE-GGA.

As for the volume: 53.1 Å³/f.u. The energy above the lowest structure with this stoichiometry is 0.0 meV per atom. The uncorrected formation energy is -0.402 eV per atom. As for the density: 6.75 g/cm³.

The space group is I-42d (No. 122) and the conventional cell measures 6.441, 6.441 and 5.122 Å, with angles of 90.00, 90.00 and 90.00 degrees. The inequivalent atoms are Ga at (0.000, 0.000, 0.000), Cu at (0.218, 0.250, 0.625) and F at (0.000, 0.000, 0.500).



This record from Alexandria describes a geometry-optimized BeSeO3 structure. The functional is PBE-GGA.

As for the volume: 68.7 Å³/f.u. The uncorrected formation energy is -1.243 eV per atom. As for the density: 3.29 g/cm³.

The space group is C2/m (No. 12) and the conventional cell measures 10.400, 2.944 and 9.655 Å, with angles of 90.00, 111.57 and 90.00 degrees. The inequivalent atoms are Be at (0.184, 0.000, 0.419), Se at (0.137, 0.000, 0.787), O at (0.011, 0.000, 0.356), O at (0.108, 0.500, 0.897) and O at (0.242, 0.500, 0.393).



This record from Alexandria describes a geometry-optimized TcPt3Rh6 structure. The functional is PBE-GGA.

As for the formation energy: 0.27 eV/atom. As for the volume: 155.9 Å³/f.u. The energy above the lowest structure with this stoichiometry is 292.7 meV per atom. As for the density: 13.86 g/cm³.

The space group is P-31m (No. 162) and the conventional cell measures 5.1168, 5.1168 and 6.8739 Å, with angles of 90.00, 90.00 and 120.00 degrees. The inequivalent atoms are Tc at (0.0000, 0.0000, 0.0000), Pt at (0.0000, 0.0000, 0.5000), Pt at (0.3333, 0.6667, 0.5000) and Rh at (0.0000, 0.4092, 0.8160).